[1]
Computed, not measured: crystalline La3Nd4Al4 at its relaxed geometry at the GGA-PBE level of DFT.

The value obtained for the formation energy is -0.18 eV/atom. The mass density is 5.52 Mg/m³. As for the total DFT energy (no corrections): -4.623 eV per atom. Its space-group type is No. 71.

a b c (Å): 9.9250 9.9250 9.9250
angles (deg): 149.20 138.23 52.78
Sites, in units of the cell vectors:
La: 0.0000 0.0000 0.0000
La: 0.3990 0.8990 0.5000
La: 0.6010 0.1010 0.5000
Nd: 0.0549 0.3228 0.7320
Nd: 0.4092 0.6772 0.7320
Nd: 0.5908 0.3228 0.2680
Nd: 0.9451 0.6772 0.2680
Al: 0.1776 0.1776 0.0000
Al: 0.3075 0.5000 0.8075
Al: 0.6925 0.5000 0.1925
Al: 0.8224 0.8224 0.0000

[2]
Computed, not measured: crystalline HfNbCo at its relaxed geometry at the GGA-PBE level of DFT.

The value obtained for the formation energy is -0.17 eV/atom. The mass density is 10.50 Mg/m³. As for the total DFT energy (no corrections): -9.210 eV per atom. Its energy above the most stable polymorph in this dataset is 61 meV/atom. Its space-group type is No. 63.

a b c (Å): 3.3018 10.6547 5.9370
angles (deg): 90.00 90.00 90.00
Sites, in units of the cell vectors:
Hf: 0.0000 0.2071 0.2500
Hf: 0.0000 0.7929 0.7500
Hf: 0.5000 0.2929 0.7500
Hf: 0.5000 0.7071 0.2500
Nb: 0.0000 0.5000 0.0000
Nb: 0.0000 0.5000 0.5000
Nb: 0.5000 0.0000 0.0000
Nb: 0.5000 0.0000 0.5000
Co: 0.0000 0.1064 0.7500
Co: 0.0000 0.8936 0.2500
Co: 0.5000 0.3936 0.2500
Co: 0.5000 0.6064 0.7500

[3]
Computed, not measured: crystalline TaTiH4 at its relaxed geometry at the GGA-PBE level of DFT.

The mass density is 8.84 Mg/m³. As for the total DFT energy (no corrections): -5.753 eV per atom. Its energy above the most stable polymorph in this dataset is 107 meV/atom. Its space-group type is No. 15.

a b c (Å): 4.9048 4.9048 5.1083
angles (deg): 120.77 120.77 86.20
Sites, in units of the cell vectors:
Ta: 0.1240 0.8760 0.7500
Ta: 0.8760 0.1240 0.2500
Ti: 0.3742 0.6258 0.2500
Ti: 0.6258 0.3742 0.7500
H: 0.0111 0.2671 0.7529
H: 0.2455 0.4896 0.4826
H: 0.2671 0.0111 0.2529
H: 0.4896 0.2455 0.9826
H: 0.5104 0.7545 0.0174
H: 0.7329 0.9889 0.7471
H: 0.7545 0.5104 0.5174
H: 0.9889 0.7329 0.2471

[4]
Computed, not measured: crystalline CaCr2Cl at its relaxed geometry at the GGA-PBE level of DFT.

The mass density is 3.16 Mg/m³. As for the energy relative to the elements, uncorrected: 1.09 eV per formula unit. As for the total DFT energy (no corrections): -5.500 eV per atom. Its energy above the most stable polymorph in this dataset is 424 meV/atom. Its space-group type is No. 139.

a b c (Å): 3.9934 3.9934 11.8129
angles (deg): 90.00 90.00 90.00
Sites, in units of the cell vectors:
Ca: 0.0000 0.0000 0.0000
Ca: 0.5000 0.5000 0.5000
Cr: 0.0000 0.5000 0.2500
Cr: 0.0000 0.5000 0.7500
Cr: 0.5000 0.0000 0.2500
Cr: 0.5000 0.0000 0.7500
Cl: 0.0000 0.0000 0.5000
Cl: 0.5000 0.5000 0.0000

[5]
Computed, not measured: crystalline Ce2YHo at its relaxed geometry at the GGA-PBE level of DFT.

The value obtained for the formation energy is 0.11 eV/atom. The mass density is 7.25 Mg/m³. As for the total DFT energy (no corrections): -5.614 eV per atom. Its energy above the most stable polymorph in this dataset is 21 meV/atom. Its space-group type is No. 123.

a b c (Å): 4.9186 4.9186 5.0564
angles (deg): 90.00 90.00 90.00
Sites, in units of the cell vectors:
Ce: 0.0000 0.5000 0.0000
Ce: 0.5000 0.0000 0.0000
Y: 0.0000 0.0000 0.5000
Ho: 0.5000 0.5000 0.5000

[6]
Computed, not measured: crystalline Ge3Te4As at its relaxed geometry at the GGA-PBE level of DFT.

The mass density is 6.22 Mg/m³. As for the energy relative to the elements, uncorrected: -0.14 eV per formula unit. As for the total DFT energy (no corrections): -3.901 eV per atom. Its space-group type is No. 31.

a b c (Å): 11.8344 6.0037 6.0371
angles (deg): 90.00 90.00 90.00
Sites, in units of the cell vectors:
Ge: 0.0000 0.2478 0.9999
Ge: 0.2501 0.2512 0.5000
Ge: 0.2499 0.7488 0.0000
Ge: 0.5000 0.7522 0.4999
Ge: 0.7499 0.2512 0.5000
Ge: 0.7501 0.7488 0.0000
Te: 0.0000 0.2498 0.4751
Te: 0.0000 0.7498 0.9849
Te: 0.2458 0.7502 0.4748
Te: 0.2542 0.2498 0.9748
Te: 0.5000 0.2502 0.4849
Te: 0.5000 0.7502 0.9751
Te: 0.7458 0.2498 0.9748
Te: 0.7542 0.7502 0.4748
As: 0.0000 0.7499 0.4850
As: 0.5000 0.2501 0.9850